Arrangement i

{
  "formula": "KCoTe2I",
  "functional": "PBE",
  "state": "relaxed",
  "lattice": [[6.3372, 0.0000, 0.0000], [0.0000, 6.3372, 0.0000], [0.0000, 0.0000, 6.2295]],
  "species": ["K", "Co", "Te", "Te", "I"],
  "fractional_positions": [[0.0000, 0.0000, 0.0000], [0.5000, 0.5000, 0.5000], [0.0000, 0.5000, 0.0000], [0.5000, 0.0000, 0.0000], [0.0000, 0.0000, 0.5000]]
}


Arrangement ii

{
  "formula": "KCoTe2I",
  "functional": "PBE",
  "state": "relaxed",
  "lattice": [[5.0177, 0.0000, 0.0000], [0.0000, 5.0177, 0.0000], [0.0000, 0.0000, 6.5925]],
  "species": ["K", "Co", "Te", "Te", "I"],
  "fractional_positions": [[0.0000, 0.0000, 0.0000], [0.5000, 0.5000, 0.5000], [0.0000, 0.5000, 0.5000], [0.5000, 0.0000, 0.5000], [0.5000, 0.5000, 0.0000]]
}


Energy comparison, zero being the most stable, in meV per atom: arrangement i 1425; arrangement ii 0.


Arrangement i

{
  "formula": "La2CoI",
  "functional": "PBE",
  "state": "relaxed",
  "lattice": [[2.0619, 1.1904, 8.2420], [-2.0619, 1.1904, 8.2420], [0.0000, -2.3809, 8.2420]],
  "species": ["La", "La", "Co", "I"],
  "fractional_positions": [[0.2272, 0.2272, 0.2272], [0.7728, 0.7728, 0.7728], [0.5000, 0.5000, 0.5000], [0.0000, 0.0000, 0.0000]]
}


Arrangement ii

{
  "formula": "La2CoI",
  "functional": "PBE",
  "state": "relaxed",
  "lattice": [[3.5910, 0.0000, 0.0000], [0.0000, 3.5910, 0.0000], [0.0000, 0.0000, 8.4687]],
  "species": ["La", "La", "Co", "I"],
  "fractional_positions": [[0.0000, 0.0000, 0.1995], [0.0000, 0.0000, 0.8005], [0.5000, 0.5000, 0.0000], [0.5000, 0.5000, 0.5000]]
}


Energy comparison, zero being the most stable, in meV per atom: arrangement i 0; arrangement ii 240.